This record from OQMD via LeMat-Bulk describes an optimized crystal structure of Tb5Tl3Cd. The functional is PBE-GGA.

a b c (Å): 9.3281 9.3281 6.7374
angles (deg): 90.00 90.00 120.00
Space group P6_3/mcm (No. 193)
Asymmetric unit:
Tb1 0.0000 0.2880 0.2500
Tb2 0.3333 0.6667 0.0000
Tl1 0.0000 0.3729 0.7500
Cd1 0.0000 0.0000 0.0000

Properties
The value obtained for the total energy is -3.80 eV/atom. As for the crystal system: hexagonal.

***

This record from OQMD via LeMat-Bulk describes an optimized crystal structure of TbTlCd. The functional is PBE-GGA.

a b c (Å): 6.9977 6.9977 6.9977
angles (deg): 90.00 90.00 90.00
Space group F-43m (No. 216)
Asymmetric unit:
Tb1 0.0000 0.0000 0.0000
Tl1 0.2500 0.2500 0.7500
Cd1 0.0000 0.0000 0.5000

Properties
The value obtained for the total energy is -2.83 eV/atom. As for the crystal system: cubic.

***

This record from OQMD via LeMat-Bulk describes an optimized crystal structure of TbTmCd. The functional is PBE-GGA.

a b c (Å): 7.1599 7.1599 7.1599
angles (deg): 90.00 90.00 90.00
Space group F-43m (No. 216)
Asymmetric unit:
Tb1 0.0000 0.0000 0.0000
Tm1 0.2500 0.2500 0.7500
Cd1 0.0000 0.0000 0.5000

Properties
As for the crystal system: cubic. The formation energy is 507.2 meV per atom.

***

This record from OQMD via LeMat-Bulk describes an optimized crystal structure of TbCdW. The functional is PBE-GGA.

a b c (Å): 6.6519 6.6519 6.6519
angles (deg): 90.00 90.00 90.00
Space group F-43m (No. 216)
Asymmetric unit:
Tb1 0.0000 0.0000 0.0000
Cd1 0.2500 0.2500 0.2500
W1 0.0000 0.0000 0.5000

Properties
As for the crystal system: cubic. The formation energy is 1128.2 meV per atom.

***

This record from OQMD via LeMat-Bulk describes an optimized crystal structure of TbYCd6. The functional is PBE-GGA.

a b c (Å): 6.5888 6.5888 4.9727
angles (deg): 90.00 90.00 120.00
Space group P-6m2 (No. 187)
Asymmetric unit:
Tb1 0.0000 0.0000 0.0000
Y1 0.3333 0.6667 0.5000
Cd1 0.3422 0.1711 0.5000
Cd2 0.5045 0.0091 0.0000

Properties
As for the crystal system: hexagonal. The formation energy is -304.6 meV per atom.

***

This record from OQMD via LeMat-Bulk describes an optimized crystal structure of Tb2ZnCd. The functional is PBE-GGA.

a b c (Å): 3.6069 3.6069 7.5343
angles (deg): 90.00 90.00 90.00
Space group P4/mmm (No. 123)
Asymmetric unit:
Tb1 0.0000 0.0000 0.2301
Zn1 0.5000 0.5000 0.0000
Cd1 0.5000 0.5000 0.5000

Properties
As for the crystal system: tetragonal. The formation energy is -339.1 meV per atom.

***

This record from OQMD via LeMat-Bulk describes an optimized crystal structure of CdTcTe. The functional is PBE-GGA.

a b c (Å): 6.4279 6.4279 6.4279
angles (deg): 90.00 90.00 90.00
Space group F-43m (No. 216)
Asymmetric unit:
Cd1 0.0000 0.0000 0.0000
Tc1 0.2500 0.2500 0.7500
Te1 0.0000 0.0000 0.5000

Properties
As for the crystal system: cubic. The offset from the most stable computed form comes out at 0.0 kJ/mol of atoms.

***

This record from OQMD via LeMat-Bulk describes an optimized crystal structure of TlCd2Tc. The functional is PBE-GGA.

a b c (Å): 6.8062 6.8062 6.8062
angles (deg): 90.00 90.00 90.00
Space group F-43m (No. 216)
Asymmetric unit:
Tl1 0.0000 0.0000 0.0000
Cd1 0.0000 0.0000 0.5000
Cd2 0.2500 0.2500 0.7500
Tc1 0.2500 0.2500 0.2500

Properties
The value obtained for the total energy is -3.01 eV/atom. As for the crystal system: cubic.

***

no.,M_tot (Bohr magnetons per cell)
1,0.02
2,0.00
3,0.00
4,0.84
5,0.00
6,0.35
7,0.14
8,0.01